A plane-wave DFT calculation with PBE with a Hubbard U was carried out for an optimized crystal structure of Li2GaCoO.

Geometry as CIF:
```
data_Li2GaCoO
_cell_length_a 5.019
_cell_length_b 5.019
_cell_length_c 3.508
_cell_angle_alpha 90.00
_cell_angle_beta 90.00
_cell_angle_gamma 90.00
_space_group_name_H-M_alt 'P 4/m m m'
_space_group_IT_number 123
_space_group_name_Hall '-P 4 2'
loop_
_atom_site_label
_atom_site_type_symbol
_atom_site_fract_x
_atom_site_fract_y
_atom_site_fract_z
_atom_site_occupancy
Li1 Li 0.000 0.500 0.000 1
Ga1 Ga 0.000 0.000 0.500 1
Co1 Co 0.500 0.500 0.000 1
O1 O 0.500 0.500 0.500 1
```

Summary:
Density of states at the Fermi level ... 3.38 states/eV/cell
Total energy ... -17.75 eV for the cell shown